[1]
Crystalline Y2Tl3Cd3 at its relaxed geometry. Source: Alexandria via LeMat-Bulk, functional PBE-GGA.

Computed properties:
N(E_F) in states/eV/cell: 4.22
ΔE_f in meV per atom: -266
Space-group type: Pmmm

```
8
Lattice="4.7695 0.0000 0.0000 0.0000 4.6377 0.0000 0.0000 0.0000 9.1260" Properties=species:S:1:pos:R:3 pbc="T T T"
Y 0.0000 0.0000 6.8341
Y 0.0000 0.0000 2.2919
Tl 2.3848 0.0000 4.5630
Tl 0.0000 2.3189 0.0000
Tl 0.0000 2.3189 4.5630
Cd 2.3848 2.3189 6.9302
Cd 2.3848 2.3189 2.1958
Cd 2.3848 0.0000 0.0000
```



[2]
Crystalline Na2Sr3PbO6 at its relaxed geometry. Source: Alexandria via LeMat-Bulk, functional PBE-GGA.

Computed properties:
Uncorrected formation energy in eV/f.u.: -23.81
Space-group type: C2/m

```
12
Lattice="-5.0356 -3.0508 1.9955 5.0398 -3.1792 -1.7723 1.9619 2.2692 5.1689" Properties=species:S:1:pos:R:3 pbc="T T T"
Na 1.6733 -3.1363 -0.5134
Na -1.6692 -3.0937 0.7366
Sr 4.2814 -2.0224 1.4626
Sr -2.3154 -1.9384 3.9296
Sr 0.9830 -1.9804 2.6961
Pb 0.0000 0.0000 0.0000
O -0.0451 -3.0342 4.6819
O 0.4707 -4.3104 1.4056
O 2.0111 -0.9266 0.7103
O 3.0379 -3.0734 3.5290
O 1.4953 0.3497 3.9866
O -1.0718 -0.8873 1.8632
```



[3]
Crystalline TlSn2Pb2 at its relaxed geometry. Source: Alexandria via LeMat-Bulk, functional PBE-GGA.

Computed properties:
N(E_F) in states/eV/cell: 2.46
ΔE_f in meV per atom: 87
Space-group type: I4/mmm

```
5
Lattice="4.5753 0.0000 0.0000 0.0000 4.5753 0.0000 2.2877 2.2877 7.9061" Properties=species:S:1:pos:R:3 pbc="T T T"
Pb 2.2877 2.2877 1.6847
Pb 4.5753 4.5753 6.2214
Tl 0.0000 0.0000 0.0000
Sn 4.5753 2.2877 3.9530
Sn 2.2877 4.5753 3.9530
```



Copy entry 2 word for word.
Crystalline Na2Sr3PbO6 at its relaxed geometry. Source: Alexandria via LeMat-Bulk, functional PBE-GGA.

Computed properties:
Uncorrected formation energy in eV/f.u.: -23.81
Space-group type: C2/m

```
12
Lattice="-5.0356 -3.0508 1.9955 5.0398 -3.1792 -1.7723 1.9619 2.2692 5.1689" Properties=species:S:1:pos:R:3 pbc="T T T"
Na 1.6733 -3.1363 -0.5134
Na -1.6692 -3.0937 0.7366
Sr 4.2814 -2.0224 1.4626
Sr -2.3154 -1.9384 3.9296
Sr 0.9830 -1.9804 2.6961
Pb 0.0000 0.0000 0.0000
O -0.0451 -3.0342 4.6819
O 0.4707 -4.3104 1.4056
O 2.0111 -0.9266 0.7103
O 3.0379 -3.0734 3.5290
O 1.4953 0.3497 3.9866
O -1.0718 -0.8873 1.8632
```